Density functional theory data (PBEsol) for a relaxed structure of TaCoPt2F.

## Properties
Formation energy without anion corrections (kJ per mole of atoms): 121.8
Total magnetization (μB per formula unit): 0.586
Space group: P4/mmm, No. 123

Lattice parameters (Å, degrees): 4.4660 4.7903 4.7903 90.00 90.00 90.00
With the nearest neighbours (Å) after each atom.
Atoms (fractional coordinates):
Pt1 0.0000 0.5000 0.0000  2 Ta 2.40
Co1 0.5000 0.0000 0.0000  2 Ta 2.23
Pt2 0.0000 0.0000 0.5000  2 Ta 2.40
F1 0.5000 0.5000 0.5000  8 Pt 3.27, 4 Co 3.39
Ta1 0.0000 0.0000 0.0000  2 Co 2.23, 4 Pt 2.40

Density functional theory data (PBEsol) for a relaxed structure of AlMoRhW2.

## Properties
Total magnetization (μB per formula unit): 0.009
ΔH_f (0 K) (eV per atom): 1.64
Space group: P4/mmm, No. 123

Lattice parameters (Å, degrees): 4.3000 4.6659 4.6659 90.00 90.00 90.00
With the nearest neighbours (Å) after each atom.
Atoms (fractional coordinates):
Al1 0.5000 0.0000 0.0000  2 Rh 2.15
Rh1 0.0000 0.0000 0.0000  2 Al 2.15, 4 W 2.33
Mo1 0.5000 0.5000 0.5000  8 W 3.17, 4 Al 3.30
W1 0.0000 0.0000 0.5000  2 Rh 2.33
W2 0.0000 0.5000 0.0000  2 Rh 2.33

Density functional theory data (PBEsol) for a relaxed structure of Li4Ti3Mn3Nb2O16.

## Properties
Formation energy without anion corrections (kJ per mole of atoms): -228.3
Total magnetization (μB per formula unit): 14.366
Space group: Cm, No. 8

Lattice parameters (Å, degrees): 5.9139 5.9721 9.7339 90.96 90.00 119.68
With the nearest neighbours (Å) after each atom.
Atoms (fractional coordinates):
O1 0.5344 0.5057 0.1509  1 Ti 1.90, 1 Li 1.98, 1 Nb 2.11
O2 0.9976 0.9952 0.1998  1 Li 1.82, 1 Ti 1.91, 2 Mn 1.97
O3 0.8254 0.1540 0.9071  1 Nb 1.96, 1 Li 1.99, 1 Ti 2.11, 1 Mn 2.11
Mn1 0.3391 0.1689 0.2925  5 O 1.97-2.15
O4 0.4937 0.5304 0.6601  1 Ti 1.89, 1 Li 1.99
O5 0.9713 0.5057 0.1509  1 Ti 1.90, 1 Li 1.98, 1 Nb 2.11
O6 0.3421 0.6842 0.8923  2 Ti 1.96, 1 Li 1.98, 1 Mn 2.06
O7 0.6782 0.3564 0.3903  1 Ti 1.95, 2 Mn 1.98, 1 Li 1.99
O8 0.5247 0.0494 0.1512  1 Nb 1.97, 1 Li 1.97, 2 Mn 2.08
Nb1 0.6582 0.3164 0.0105  6 O 1.96-2.16
O9 0.9951 0.9902 0.6932  1 Li 1.81, 2 Ti 1.94, 1 Mn 2.00
O10 0.3286 0.1540 0.9071  1 Nb 1.96, 1 Li 1.99, 1 Ti 2.11, 1 Mn 2.11
Li1 0.6683 0.3367 0.5946  4 O 1.99-2.07
Ti1 0.8270 0.6539 0.2712  4 O 1.90-1.95
O11 0.1579 0.8185 0.4077  1 Nb 1.95, 1 Li 1.96, 1 Ti 2.15, 1 Mn 2.15
O12 0.8355 0.6710 0.8972  1 Li 2.02, 2 Ti 2.02, 1 Nb 2.16
O13 0.1637 0.3273 0.4190  1 Nb 1.92, 1 Li 1.97, 2 Mn 2.10
Nb2 0.3317 0.6634 0.5052  5 O 1.92-2.15
Ti2 0.1604 0.8178 0.7816  6 O 1.89-2.11
Ti3 0.6574 0.8178 0.7816  6 O 1.89-2.11
O14 0.4808 0.9615 0.6637  2 Ti 2.02, 1 Li 2.07, 1 Nb 2.16
Li2 0.3408 0.6815 0.0957  4 O 1.97-1.98
Li3 0.9996 0.9993 0.0127  4 O 1.82-2.02
Mn2 0.1673 0.3347 0.7890  6 O 2.00-2.12
O15 0.6606 0.8185 0.4077  1 Nb 1.95, 1 Li 1.96, 1 Ti 2.15, 1 Mn 2.15
Li4 0.9943 0.9886 0.5069  4 O 1.81-1.97
Mn3 0.8298 0.1689 0.2925  5 O 1.97-2.15
O16 0.0366 0.5304 0.6601  1 Ti 1.89, 1 Li 1.99

Density functional theory data (PBEsol) for a relaxed structure of MgAg3.

## Properties
Total magnetization (μB per formula unit): 0.000
ΔH_f (0 K) (eV per atom): -0.13
Relative energy among the computed polymorphs (meV per atom): 48
Space group: Pnma, No. 62

Lattice parameters (Å, degrees): 5.1080 5.7012 9.3793 90.00 90.00 90.00
With the nearest neighbours (Å) after each atom.
Atoms (fractional coordinates):
Ag1 0.2458 0.8661 0.5003  9 Ag 2.85-3.01, 3 Mg 2.87-2.92
Ag2 0.2458 0.8661 0.9997  9 Ag 2.85-3.01, 3 Mg 2.87-2.92
Ag3 0.7458 0.6339 0.9997  9 Ag 2.85-3.01, 3 Mg 2.87-2.92
Ag4 0.9256 0.8873 0.2500  4 Mg 2.80-2.90, 8 Ag 2.86-3.00
Mg1 0.0689 0.6038 0.7500  10 Ag 2.80-2.92, 2 Mg 3.05
Ag5 0.5744 0.3873 0.7500  4 Mg 2.80-2.90, 8 Ag 2.86-3.00
Ag6 0.4256 0.6127 0.2500  4 Mg 2.80-2.90, 8 Ag 2.86-3.00
Ag7 0.7542 0.1339 0.0003  9 Ag 2.85-3.01, 3 Mg 2.87-2.92
Ag8 0.2542 0.3661 0.4997  9 Ag 2.85-3.01, 3 Mg 2.87-2.92
Ag9 0.2542 0.3661 0.0003  9 Ag 2.85-3.01, 3 Mg 2.87-2.92
Ag10 0.7542 0.1339 0.4997  9 Ag 2.85-3.01, 3 Mg 2.87-2.92
Ag11 0.0744 0.1127 0.7500  4 Mg 2.80-2.90, 8 Ag 2.86-3.00
Mg2 0.5689 0.8962 0.7500  10 Ag 2.80-2.92, 2 Mg 3.05
Mg3 0.4311 0.1038 0.2500  10 Ag 2.80-2.92, 2 Mg 3.05
Ag12 0.7458 0.6339 0.5003  9 Ag 2.85-3.01, 3 Mg 2.87-2.92
Mg4 0.9311 0.3962 0.2500  10 Ag 2.80-2.92, 2 Mg 3.05

Density functional theory data (PBEsol) for a relaxed structure of RbSiH2.

## Properties
Total magnetization (μB per formula unit): 0.385
E (eV per formula unit): -9.89
Space group: Fm-3m, No. 225

Lattice parameters (Å, degrees): 4.4148 4.4148 4.4148 60.00 60.00 60.00
With the nearest neighbours (Å) after each atom.
Atoms (fractional coordinates):
Rb1 0.5000 0.5000 0.5000  8 H 2.70
H1 0.7500 0.7500 0.7500  4 Si 2.70, 4 Rb 2.70
Si1 0.0000 0.0000 0.0000  8 H 2.70
H2 0.2500 0.2500 0.2500  4 Rb 2.70, 4 Si 2.70

Density functional theory data (PBEsol) for a relaxed structure of RbNaSnF6.

## Properties
Formation energy without anion corrections (kJ per mole of atoms): -263.9
Total magnetization (μB per formula unit): 0.147
Space group: Pbcn, No. 60

Lattice parameters (Å, degrees): 8.1591 10.8743 13.1182 90.00 90.00 90.00
With the nearest neighbours (Å) after each atom.
Atoms (fractional coordinates):
F1 0.7896 0.0978 0.1853  1 Sn 2.00
Rb1 0.0000 0.2500 0.0709  8 F 2.82-3.05
F2 0.0198 0.5225 0.6143  1 Sn 1.98
Sn1 0.7503 0.4266 0.8654  6 F 1.97-2.00
F3 0.9821 0.3791 0.8377  1 Sn 1.99
F4 0.0179 0.6209 0.1623  1 Sn 1.99
F5 0.2896 0.4022 0.6853  1 Sn 2.00
F6 0.5179 0.3791 0.3377  1 Sn 1.99
Na1 0.7442 0.5753 0.1428  6 F 2.20-2.43
F7 0.3186 0.0197 0.5027  1 Sn 1.97, 1 Na 2.20
Na2 0.2558 0.9247 0.1428  6 F 2.20-2.43
F8 0.1814 0.0197 0.0027  1 Sn 1.97, 1 Na 2.20
F9 0.3186 0.5197 0.4973  1 Sn 1.97, 1 Na 2.20
Sn2 0.2503 0.0734 0.3654  6 F 1.97-2.00
Rb2 0.0000 0.2500 0.6307  10 F 2.97-3.17
F10 0.0198 0.0225 0.3857  1 Sn 1.98
F11 0.4821 0.6209 0.6623  1 Sn 1.99
F12 0.2935 0.1235 0.7219  1 Sn 1.99
Sn3 0.7497 0.9266 0.6346  6 F 1.97-2.00
Na3 0.7442 0.0753 0.8572  6 F 2.20-2.43
F13 0.9802 0.4775 0.3857  1 Sn 1.98
F14 0.2931 0.2378 0.9264  1 Sn 1.99
Rb3 0.5000 0.7500 0.8693  10 F 2.97-3.17
F15 0.9802 0.9775 0.6143  1 Sn 1.98
F16 0.4802 0.0225 0.8857  1 Sn 1.98
F17 0.7069 0.7622 0.0736  1 Sn 1.99
F18 0.2931 0.7378 0.0736  1 Sn 1.99
Rb4 0.0000 0.7500 0.3693  10 F 2.97-3.17
F19 0.4802 0.5225 0.1143  1 Sn 1.98
F20 0.2935 0.6235 0.2781  1 Sn 1.99
F21 0.7935 0.3765 0.2219  1 Sn 1.99
F22 0.7065 0.3765 0.7219  1 Sn 1.99
F23 0.4821 0.1209 0.3377  1 Sn 1.99
Rb5 0.0000 0.7500 0.9291  8 F 2.82-3.05
F24 0.6814 0.9803 0.4973  1 Sn 1.97, 1 Na 2.20
F25 0.7065 0.8765 0.2781  1 Sn 1.99
F26 0.9821 0.8791 0.1623  1 Sn 1.99
F27 0.7935 0.8765 0.7781  1 Sn 1.99
F28 0.2065 0.6235 0.7781  1 Sn 1.99
Sn4 0.2497 0.5734 0.1346  6 F 1.97-2.00
F29 0.2069 0.2378 0.4264  1 Sn 1.99
F30 0.5198 0.9775 0.1143  1 Sn 1.98
Na4 0.2558 0.4247 0.8572  6 F 2.20-2.43
F31 0.1814 0.5197 0.9973  1 Sn 1.97, 1 Na 2.20
F32 0.7104 0.0978 0.6853  1 Sn 2.00
F33 0.2104 0.9022 0.8147  1 Sn 2.00
Rb6 0.5000 0.2500 0.5709  8 F 2.82-3.05
Na5 0.7558 0.0753 0.3572  6 F 2.20-2.43
F34 0.5179 0.8791 0.6623  1 Sn 1.99
F35 0.2065 0.1235 0.2219  1 Sn 1.99
Na6 0.2442 0.4247 0.3572  6 F 2.20-2.43
Sn5 0.7503 0.9266 0.1346  6 F 1.97-2.00
F36 0.8186 0.4803 0.0027  1 Sn 1.97, 1 Na 2.20
F37 0.6814 0.4803 0.5027  1 Sn 1.97, 1 Na 2.20
F38 0.7896 0.5978 0.8147  1 Sn 2.00
Na7 0.7558 0.5753 0.6428  6 F 2.20-2.43
Na8 0.2442 0.9247 0.6428  6 F 2.20-2.43
Sn6 0.7497 0.4266 0.3654  6 F 1.97-2.00
F39 0.2896 0.9022 0.3147  1 Sn 2.00
Sn7 0.2503 0.5734 0.6346  6 F 1.97-2.00
F40 0.7104 0.5978 0.3147  1 Sn 2.00
F41 0.7069 0.2622 0.9264  1 Sn 1.99
F42 0.0179 0.1209 0.8377  1 Sn 1.99
Rb7 0.5000 0.7500 0.4291  8 F 2.82-3.05
Sn8 0.2497 0.0734 0.8654  6 F 1.97-2.00
F43 0.2069 0.7378 0.5736  1 Sn 1.99
F44 0.5198 0.4775 0.8857  1 Sn 1.98
Rb8 0.5000 0.2500 0.1307  10 F 2.97-3.17
F45 0.7931 0.2622 0.4264  1 Sn 1.99
F46 0.7931 0.7622 0.5736  1 Sn 1.99
F47 0.8186 0.9803 0.9973  1 Sn 1.97, 1 Na 2.20
F48 0.2104 0.4022 0.1853  1 Sn 2.00

Density functional theory data (PBEsol) for a relaxed structure of KRb3Br.

## Properties
Formation energy without anion corrections (kJ per mole of atoms): -61.6
Total magnetization (μB per formula unit): 0.000
Space group: Pm-3m, No. 221

Lattice parameters (Å, degrees): 6.8828 6.8828 6.8828 90.00 90.00 90.00
With the nearest neighbours (Å) after each atom.
Atoms (fractional coordinates):
Rb1 0.0000 0.5000 0.0000  2 Br 3.44
Rb2 0.0000 0.0000 0.5000  2 Br 3.44
Rb3 0.5000 0.0000 0.0000  2 Br 3.44
K1 0.5000 0.5000 0.5000  12 Rb 4.87
Br1 0.0000 0.0000 0.0000  6 Rb 3.44

Density functional theory data (PBEsol) for a relaxed structure of KGaNi2W.

## Properties
Total magnetization (μB per formula unit): 3.808
ΔH_f (0 K) (eV per atom): 1.43
Space group: P4/mmm, No. 123

Lattice parameters (Å, degrees): 4.5282 4.5282 4.8302 90.00 90.00 90.00
With the nearest neighbours (Å) after each atom.
Atoms (fractional coordinates):
Ga1 0.0000 0.0000 0.0000  4 Ni 2.26, 2 W 2.42
W1 0.0000 0.0000 0.5000  2 Ga 2.42
Ni1 0.0000 0.5000 0.0000  2 Ga 2.26
Ni2 0.5000 0.0000 0.0000  2 Ga 2.26
K1 0.5000 0.5000 0.5000  4 W 3.20, 8 Ni 3.31

Density functional theory data (PBEsol) for a relaxed structure of Hg2MoAu.

## Properties
Total magnetization (μB per formula unit): 0.000
ΔH_f (0 K) (eV per atom): 0.29
Relative energy among the computed polymorphs (meV per atom): 0
Space group: P4mm, No. 99

Lattice parameters (Å, degrees): 2.8709 2.8709 8.8564 90.00 90.00 90.00
With the nearest neighbours (Å) after each atom.
Atoms (fractional coordinates):
Mo1 0.0000 0.0000 0.5126  4 Au 2.79, 4 Mo 2.87, 4 Hg 2.95
Au1 0.5000 0.5000 0.7292  4 Mo 2.79, 4 Au 2.87, 4 Hg 3.06
Hg1 0.0000 0.0000 0.9871  4 Hg 2.87, 4 Au 3.06
Hg2 0.5000 0.5000 0.2711  4 Hg 2.87, 4 Mo 2.95

Density functional theory data (PBEsol) for a relaxed structure of BIr2PbBr.

## Properties
Formation energy without anion corrections (kJ per mole of atoms): 59.7
Total magnetization (μB per formula unit): 0.216
Space group: P4/mmm, No. 123

Lattice parameters (Å, degrees): 4.0652 4.0652 5.8722 90.00 90.00 90.00
With the nearest neighbours (Å) after each atom.
Atoms (fractional coordinates):
Pb1 0.5000 0.5000 0.5000  4 Br 2.87
Ir1 0.5000 0.0000 0.0000  2 B 2.03
Ir2 0.0000 0.5000 0.0000  2 B 2.03
B1 0.0000 0.0000 0.0000  4 Ir 2.03
Br1 0.0000 0.0000 0.5000  4 Pb 2.87, 2 B 2.94

Density functional theory data (PBEsol) for a relaxed structure of InHgAu4.

## Properties
Total magnetization (μB per formula unit): 0.000
ΔH_f (0 K) (eV per atom): 0.00
Space group: F-43m, No. 216

Lattice parameters (Å, degrees): 5.4944 5.4944 5.4944 60.00 60.00 60.00
With the nearest neighbours (Å) after each atom.
Atoms (fractional coordinates):
Hg1 0.7500 0.7500 0.7500  12 Au 3.22, 4 In 3.36
Au1 0.3750 0.3750 0.8749  6 Au 2.75
In1 0.0000 0.0000 0.0000  12 Au 3.22, 4 Hg 3.36
Au2 0.3750 0.8749 0.3750  6 Au 2.75
Au3 0.3750 0.3750 0.3750  6 Au 2.75
Au4 0.8749 0.3750 0.3750  6 Au 2.75

Density functional theory data (PBEsol) for a relaxed structure of HgAsPdS2.

## Properties
Formation energy without anion corrections (kJ per mole of atoms): 45.8
Total magnetization (μB per formula unit): 0.002
Space group: P4/mmm, No. 123

Lattice parameters (Å, degrees): 4.5940 4.5940 4.9848 90.00 90.00 90.00
With the nearest neighbours (Å) after each atom.
Atoms (fractional coordinates):
Hg1 0.5000 0.5000 0.5000  4 As 3.25, 8 S 3.39
Pd1 0.0000 0.0000 0.0000  4 S 2.30, 2 As 2.49
S1 0.0000 0.5000 0.0000  2 Pd 2.30
S2 0.5000 0.0000 0.0000  2 Pd 2.30
As1 0.0000 0.0000 0.5000  2 Pd 2.49